# 1
The following is a GGA-PBE calculation of an optimized crystal structure of NaVHg, from the Alexandria database.

Results
The space group is P-1, No. 2. For the density, the calculation gives 6.90 g/cm3. For the total magnetic moment, the calculation gives 0.000 μB per atom. The density of states at the Fermi level is 4.5 states/eV/cell. The value obtained for the formation energy is 0.380 eV per atom.

abc: 4.983 5.000 6.036
angles: 72.03 71.02 73.08
Positions (direct):
Na 0.195 0.206 0.385
Na 0.805 0.794 0.615
V 0.155 0.843 0.997
V 0.845 0.157 0.003
Hg 0.374 0.361 0.778
Hg 0.626 0.639 0.222

=====

# 2
The following is a GGA-PBE calculation of an optimized crystal structure of NaVHg, from the Alexandria database.

Results
The space group is P6_3/mmc, No. 194. For the density, the calculation gives 7.02 g/cm3. For the total magnetic moment, the calculation gives 1.183 μB per atom. The density of states at the Fermi level is 10.8 states/eV/cell. The value obtained for the formation energy is 0.535 eV per atom.

abc: 5.063 5.063 5.849
angles: 90.00 90.00 120.00
Positions (direct):
Na 0.000 0.000 0.000
Na 0.000 0.000 0.500
V 0.333 0.667 0.250
V 0.667 0.333 0.750
Hg 0.333 0.667 0.750
Hg 0.667 0.333 0.250

=====

# 3
The following is a GGA-PBE calculation of an optimized crystal structure of Na3VHg, from the Alexandria database.

Results
The space group is Pm-3m, No. 221. For the density, the calculation gives 2.67 g/cm3. For the total magnetic moment, the calculation gives 1.029 μB per atom. The density of states at the Fermi level is 8.8 states/eV/cell. The value obtained for the formation energy is 0.854 eV per atom.

abc: 5.843 5.843 5.843
angles: 90.00 90.00 90.00
Positions (direct):
Na 0.000 0.000 0.500
Na 0.000 0.500 0.000
Na 0.500 0.000 0.000
V 0.000 0.000 0.000
Hg 0.500 0.500 0.500